No. 1
Here is BaBeAsBr2 after structural relaxation from Alexandria via LeMat-Bulk. Energies are from PBE.

Lattice parameters (Å, degrees): 6.249 6.249 6.903 90.00 90.00 90.00
Each line ends with the local moment (μB).
Atoms (fractional coordinates):
Br 0.500 0.000 0.000  0.02
Be 0.500 0.500 0.500  -0.05
Ba 0.000 0.000 0.000  0.03
Br 0.000 0.500 0.000  0.02
As 0.000 0.000 0.500  1.04

Its symmetry is P4/mmm (123). For the total energy, the calculation gives -0.1879 Ry per atom. Its density of states at the Fermi level is 4.09 states/eV/f.u. The calculation puts the energy relative to the elements, uncorrected at 0.173 eV/atom.

No. 2
Here is Mg3SnPb after structural relaxation from Alexandria via LeMat-Bulk. Energies are from PBE.

Lattice parameters (Å, degrees): 3.566 7.804 10.048 89.71 110.96 90.16
Atoms (fractional coordinates):
Mg 0.912 0.256 0.660
Mg 0.286 0.893 0.539
Sn 0.620 0.086 0.867
Mg 0.914 0.967 0.162
Sn 0.618 0.137 0.367
Pb 0.469 0.649 0.214
Mg 0.281 0.341 0.026
Pb 0.470 0.572 0.715
Mg 0.168 0.452 0.414
Mg 0.168 0.771 0.913

Its symmetry is P1 (1). For the total energy, the calculation gives -0.1870 Ry per atom. Its density of states at the Fermi level is 1.71 states/eV/f.u.

No. 3
Here is Sc2CrIr after structural relaxation from Alexandria via LeMat-Bulk. Energies are from PBE.

Lattice parameters (Å, degrees): 2.942 2.942 8.272 90.00 90.00 90.00
Atoms (fractional coordinates):
Ir 0.500 0.500 0.711
Sc 0.000 0.000 0.949
Cr 0.000 0.000 0.535
Sc 0.500 0.500 0.305

Its symmetry is P4mm (99). For the total energy, the calculation gives -0.5860 Ry per atom. Its density of states at the Fermi level is 3.21 states/eV/f.u.

No. 4
Here is LaMoRu2 after structural relaxation from Alexandria via LeMat-Bulk. Energies are from PBE.

Lattice parameters (Å, degrees): 3.139 3.123 8.161 67.42 90.00 90.00
Atoms (fractional coordinates):
Ru 0.000 0.056 0.943
Ru 0.000 0.444 0.557
La 0.500 0.250 0.250
Mo 0.500 0.750 0.750

Its symmetry is P2/m (10). For the total energy, the calculation gives -0.6266 Ry per atom. Its density of states at the Fermi level is 3.85 states/eV/f.u.

No. 5
Here is Pm2Al3Ni after structural relaxation from Alexandria via LeMat-Bulk. Energies are from PBE.

Lattice parameters (Å, degrees): 4.506 5.667 5.832 80.73 67.28 66.58
Atoms (fractional coordinates):
Al 0.164 0.754 0.918
Pm 0.552 0.192 0.704
Ni 0.166 0.402 0.266
Al 0.821 0.249 0.109
Al 0.861 0.590 0.689
Pm 0.436 0.814 0.314

Its symmetry is Cm (8). For the total energy, the calculation gives -0.3597 Ry per atom. Its density of states at the Fermi level is 3.88 states/eV/f.u.

No. 6
Here is MgSiO3 after structural relaxation from Alexandria via LeMat-Bulk. Energies are from PBE.

Lattice parameters (Å, degrees): 3.495 3.495 3.495 90.00 90.00 90.00
Atoms (fractional coordinates):
Mg 0.500 0.500 0.500
O 0.000 0.500 0.000
O 0.500 0.000 0.000
O 0.000 0.000 0.500
Si 0.000 0.000 0.000

Its symmetry is Pm-3m (221). For the total energy, the calculation gives -0.4942 Ry per atom. Its density of states at the Fermi level is 0.00 states/eV/f.u. The calculation puts the energy relative to the elements, uncorrected at -2.346 eV/atom.

No. 7
Here is Sc2Tc after structural relaxation from Alexandria via LeMat-Bulk. Energies are from PBE.

Lattice parameters (Å, degrees): 5.435 5.435 5.435 60.00 60.00 60.00
Atoms (fractional coordinates):
Sc 0.625 0.625 0.625
Tc 0.000 0.000 0.000
Sc 0.125 0.625 0.625
Tc 0.250 0.250 0.250
Sc 0.625 0.125 0.625
Sc 0.625 0.625 0.125

Its symmetry is Fd-3m (227). For the total energy, the calculation gives -0.5172 Ry per atom. Its density of states at the Fermi level is 4.35 states/eV/f.u.

No. 8
Here is PaCr2H8 after structural relaxation from Alexandria via LeMat-Bulk. Energies are from PBE.

Lattice parameters (Å, degrees): 4.147 4.147 4.803 90.00 90.00 90.00
Each line ends with the local moment (μB).
Atoms (fractional coordinates):
Cr 0.500 0.000 0.000  1.04
H 0.783 0.217 0.201  -0.01
H 0.783 0.783 0.201  -0.01
H 0.217 0.783 0.201  -0.01
H 0.217 0.783 0.799  -0.01
H 0.783 0.217 0.799  -0.01
H 0.217 0.217 0.799  -0.01
Pa 0.500 0.500 0.500  -0.46
H 0.783 0.783 0.799  -0.01
H 0.217 0.217 0.201  -0.01
Cr 0.000 0.500 0.000  1.04

Its symmetry is P4/mmm (123). For the total energy, the calculation gives -0.3742 Ry per atom. Its density of states at the Fermi level is 4.39 states/eV/f.u.

No. 9
Here is Sr2YCr after structural relaxation from Alexandria via LeMat-Bulk. Energies are from PBE.

Lattice parameters (Å, degrees): 6.668 6.668 6.668 135.74 135.74 64.39
Each line ends with the local moment (μB).
Atoms (fractional coordinates):
Y 0.250 0.750 0.500  -0.25
Cr 0.750 0.250 0.500  3.89
Sr 0.500 0.500 0.000  -0.05
Sr 0.000 0.000 0.000  -0.05

Its symmetry is I4/mmm (139). For the total energy, the calculation gives -0.3135 Ry per atom. Its density of states at the Fermi level is 5.14 states/eV/f.u.

No. 10
Here is Cu2BiAu after structural relaxation from Alexandria via LeMat-Bulk. Energies are from PBE.

Lattice parameters (Å, degrees): 4.394 4.394 5.168 64.84 64.84 60.00
Atoms (fractional coordinates):
Bi 0.000 0.000 0.000
Cu 0.784 0.784 0.649
Au 0.500 0.500 0.500
Cu 0.216 0.216 0.351

Its symmetry is R-3m (166). For the total energy, the calculation gives -0.2716 Ry per atom. Its density of states at the Fermi level is 1.37 states/eV/f.u.

No. 11
Here is GdGa2Pd after structural relaxation from Alexandria via LeMat-Bulk. Energies are from PBE.

Lattice parameters (Å, degrees): 3.295 3.295 6.948 90.00 90.00 90.00
Each line ends with the local moment (μB).
Atoms (fractional coordinates):
Gd 0.500 0.500 0.500  7.23
Ga 0.000 0.000 0.200  -0.01
Pd 0.500 0.500 0.000  0.01
Ga 0.000 0.000 0.800  -0.01

Its symmetry is P4/mmm (123). For the total energy, the calculation gives -0.5104 Ry per atom. Its density of states at the Fermi level is 2.04 states/eV/f.u.

No. 12
Here is Dy3HfAg3Se8 after structural relaxation from Alexandria via LeMat-Bulk. Energies are from PBE.

Lattice parameters (Å, degrees): 8.191 8.191 8.157 120.33 90.00 120.00
Atoms (fractional coordinates):
Se 0.749 0.498 0.745
Se 0.236 0.472 0.733
Se 0.236 0.998 0.733
Dy 0.500 0.000 0.500
Se 0.764 0.002 0.267
Se 0.238 0.002 0.267
Ag 0.500 0.500 0.000
Hf 0.000 0.000 0.500
Ag 0.000 0.500 0.000
Dy 0.000 0.500 0.500
Se 0.251 0.502 0.255
Ag 0.000 0.000 0.000
Se 0.764 0.528 0.267
Se 0.762 0.998 0.733
Dy 0.500 0.500 0.500

Its symmetry is C2/m (12). For the total energy, the calculation gives -0.3822 Ry per atom. The calculation puts the energy relative to the elements, uncorrected at -1.187 eV/atom.

No. 13
Here is Cs3AgSn4 after structural relaxation from Alexandria via LeMat-Bulk. Energies are from PBE.

Lattice parameters (Å, degrees): 6.816 7.510 14.000 90.00 90.00 90.00
Atoms (fractional coordinates):
Sn 0.331 0.500 0.112
Cs 0.830 0.500 0.259
Sn 0.669 0.000 0.612
Cs 0.170 0.000 0.241
Sn 0.331 0.500 0.888
Cs 0.444 0.500 0.500
Sn 0.044 0.710 0.000
Sn 0.956 0.790 0.500
Cs 0.556 0.000 0.000
Cs 0.830 0.500 0.741
Sn 0.044 0.290 0.000
Sn 0.956 0.210 0.500
Sn 0.669 0.000 0.388
Cs 0.170 0.000 0.759
Ag 0.312 0.000 0.500
Ag 0.688 0.500 0.000

Its symmetry is Pmmn (59). For the total energy, the calculation gives -0.2190 Ry per atom.

No. 14
Here is K3Cu2Te4 after structural relaxation from Alexandria via LeMat-Bulk. Energies are from PBE.

Lattice parameters (Å, degrees): 4.891 6.981 9.160 104.04 90.00 110.51
Atoms (fractional coordinates):
Cu 0.714 0.429 0.361
Te 0.874 0.749 0.613
K 0.603 0.205 0.677
K 0.000 0.000 0.000
K 0.397 0.795 0.323
Te 0.126 0.251 0.387
Cu 0.286 0.571 0.639
Te 0.719 0.439 0.075
Te 0.281 0.561 0.925

Its symmetry is C2/m (12). For the total energy, the calculation gives -0.2339 Ry per atom. Its density of states at the Fermi level is 3.29 states/eV/f.u. The calculation puts the energy relative to the elements, uncorrected at -0.510 eV/atom.

No. 15
Here is NdSmGaRh after structural relaxation from Alexandria via LeMat-Bulk. Energies are from PBE.

Lattice parameters (Å, degrees): 5.099 5.099 5.099 60.00 60.00 60.00
Atoms (fractional coordinates):
Ga 0.250 0.250 0.250
Rh 0.750 0.750 0.750
Nd 0.500 0.500 0.500
Sm 0.000 0.000 0.000

Its symmetry is F-43m (216). For the total energy, the calculation gives -0.4059 Ry per atom. Its density of states at the Fermi level is 3.56 states/eV/f.u.

No. 16
Here is SrHfMg after structural relaxation from Alexandria via LeMat-Bulk. Energies are from PBE.

Lattice parameters (Å, degrees): 8.867 3.323 11.846 90.00 90.00 90.00
Atoms (fractional coordinates):
Hf 0.559 0.750 0.598
Mg 0.856 0.250 0.704
Mg 0.644 0.750 0.204
Sr 0.174 0.750 0.588
Sr 0.326 0.250 0.088
Mg 0.144 0.750 0.296
Hf 0.441 0.250 0.402
Sr 0.674 0.750 0.912
Hf 0.941 0.250 0.098
Hf 0.059 0.750 0.902
Mg 0.356 0.250 0.796
Sr 0.826 0.250 0.412

Its symmetry is Pnma (62). For the total energy, the calculation gives -0.3007 Ry per atom. Its density of states at the Fermi level is 2.35 states/eV/f.u.

No. 17
Here is Be4Zn after structural relaxation from Alexandria via LeMat-Bulk. Energies are from PBE.

Lattice parameters (Å, degrees): 4.352 4.352 4.352 109.47 109.47 109.47
Atoms (fractional coordinates):
Zn 0.000 0.000 0.000
Be 0.500 0.500 0.500
Be 0.000 0.500 0.000
Be 0.500 0.000 0.000
Be 0.000 0.000 0.500

Its symmetry is Im-3m (229). For the total energy, the calculation gives -0.1781 Ry per atom. Its density of states at the Fermi level is 3.04 states/eV/f.u.

No. 18
Here is HfHgPd after structural relaxation from Alexandria via LeMat-Bulk. Energies are from PBE.

Lattice parameters (Å, degrees): 2.958 2.958 7.826 100.89 100.89 90.00
Atoms (fractional coordinates):
Pd 0.276 0.276 0.552
Hf 0.113 0.113 0.227
Hg 0.461 0.461 0.921

Its symmetry is I4mm (107). For the total energy, the calculation gives -0.3598 Ry per atom. Its density of states at the Fermi level is 2.02 states/eV/f.u.

No. 19
Here is PmZn5Au2 after structural relaxation from Alexandria via LeMat-Bulk. Energies are from PBE.

Lattice parameters (Å, degrees): 3.988 6.591 6.591 68.44 72.39 72.39
Atoms (fractional coordinates):
Au 0.257 0.243 0.243
Zn 0.632 0.181 0.555
Pm 0.000 0.000 0.000
Au 0.743 0.757 0.757
Zn 0.632 0.555 0.181
Zn 0.000 0.500 0.500
Zn 0.368 0.819 0.445
Zn 0.368 0.445 0.819

Its symmetry is Immm (71). For the total energy, the calculation gives -0.1882 Ry per atom. Its density of states at the Fermi level is 3.34 states/eV/f.u.

No. 20
Here is CoRh4 after structural relaxation from Alexandria via LeMat-Bulk. Energies are from PBE.

Lattice parameters (Å, degrees): 6.388 4.506 5.122 90.00 90.00 90.00
Each line ends with the local moment (μB).
Atoms (fractional coordinates):
Rh 0.375 0.770 0.000  0.33
Rh 0.750 0.702 0.250  0.35
Co 0.500 0.000 0.500  1.96
Rh 0.875 0.230 0.500  0.33
Rh 0.125 0.770 0.500  0.33
Rh 0.750 0.702 0.750  0.35
Rh 0.250 0.298 0.750  0.35
Rh 0.250 0.298 0.250  0.35
Co 0.000 0.000 0.000  1.96
Rh 0.625 0.230 0.000  0.33

Its symmetry is Pmna (53). For the total energy, the calculation gives -0.5153 Ry per atom. Its density of states at the Fermi level is 7.03 states/eV/f.u.

No. 21
Here is SmGdTmHg after structural relaxation from Alexandria via LeMat-Bulk. Energies are from PBE.

Lattice parameters (Å, degrees): 5.438 5.438 5.438 60.00 60.00 60.00
Each line ends with the local moment (μB).
Atoms (fractional coordinates):
Gd 0.000 0.000 0.000  -7.21
Hg 0.250 0.250 0.250  0.01
Tm 0.750 0.750 0.750  -0.19
Sm 0.500 0.500 0.500  -0.10

Its symmetry is F-43m (216). For the total energy, the calculation gives -0.4392 Ry per atom. Its density of states at the Fermi level is 5.24 states/eV/f.u.

No. 22
Here is Ac12Hg6Os after structural relaxation from Alexandria via LeMat-Bulk. Energies are from PBE.

Lattice parameters (Å, degrees): 9.034 9.034 9.034 93.51 93.51 93.51
Atoms (fractional coordinates):
Hg 0.856 0.266 0.645
Ac 0.310 0.960 0.080
Ac 0.690 0.040 0.920
Hg 0.355 0.144 0.734
Os 0.000 0.000 0.000
Ac 0.546 0.197 0.421
Ac 0.920 0.690 0.040
Ac 0.197 0.421 0.546
Ac 0.960 0.080 0.310
Hg 0.645 0.856 0.266
Hg 0.734 0.355 0.144
Hg 0.144 0.734 0.355
Ac 0.080 0.310 0.960
Ac 0.454 0.803 0.579
Hg 0.266 0.645 0.856
Ac 0.579 0.454 0.803
Ac 0.040 0.920 0.690
Ac 0.421 0.546 0.197
Ac 0.803 0.579 0.454

Its symmetry is R-3 (148). For the total energy, the calculation gives -0.2577 Ry per atom. Its density of states at the Fermi level is 25.83 states/eV/f.u.

No. 23
Here is CuAg2Bi after structural relaxation from Alexandria via LeMat-Bulk. Energies are from PBE.

Lattice parameters (Å, degrees): 3.305 3.305 7.295 90.00 90.00 90.00
Atoms (fractional coordinates):
Ag 0.000 0.000 0.805
Ag 0.000 0.000 0.195
Bi 0.500 0.500 0.500
Cu 0.500 0.500 0.000

Its symmetry is P4/mmm (123). For the total energy, the calculation gives -0.2409 Ry per atom. Its density of states at the Fermi level is 1.16 states/eV/f.u.

No. 24
Here is LuMnZnGa after structural relaxation from Alexandria via LeMat-Bulk. Energies are from PBE.

Lattice parameters (Å, degrees): 4.608 4.608 4.608 60.00 60.00 60.00
Each line ends with the local moment (μB).
Atoms (fractional coordinates):
Ga 0.750 0.750 0.750  -0.07
Lu 0.000 0.000 0.000  -0.22
Zn 0.250 0.250 0.250  -0.05
Mn 0.500 0.500 0.500  3.31

Its symmetry is F-43m (216). For the total energy, the calculation gives -0.3460 Ry per atom. Its density of states at the Fermi level is 1.58 states/eV/f.u.

No. 25
Here is BaMgAl3P2H2O14 after structural relaxation from Alexandria via LeMat-Bulk. Energies are from PBE.

Lattice parameters (Å, degrees): 7.096 7.096 7.033 61.16 61.16 59.11
Each line ends with the local moment (μB).
Atoms (fractional coordinates):
H 0.693 0.722 0.793  0.00
O 0.076 0.749 0.918  0.57
O 0.389 0.376 0.326  0.02
Al 0.999 0.496 0.998  -0.01
O 0.148 0.504 0.682  0.10
O 0.251 0.924 0.082  0.57
O 0.159 0.146 0.676  0.12
Ba 0.999 0.001 0.500  -0.01
O 0.852 0.490 0.313  0.09
O 0.510 0.148 0.687  0.09
O 0.854 0.841 0.324  0.12
Al 0.009 0.991 0.000  -0.01
O 0.709 0.715 0.930  0.07
O 0.285 0.291 0.070  0.07
O 0.496 0.852 0.318  0.10
Mg 0.598 0.402 0.000  0.01
P 0.705 0.696 0.413  -0.01
O 0.909 0.257 0.072  0.33
O 0.624 0.611 0.674  0.02
H 0.278 0.307 0.207  0.00
Al 0.504 0.001 0.002  -0.01
O 0.743 0.091 0.928  0.33
P 0.304 0.295 0.587  -0.01

Its symmetry is C2 (5). For the total energy, the calculation gives -0.4896 Ry per atom. Its density of states at the Fermi level is 6.02 states/eV/f.u.

Number 1: V 53.9 Å³ per atom. Number 2: V 26.1 Å³ per atom. Number 3: V 17.9 Å³ per atom. Number 4: V 18.5 Å³ per atom. Number 5: V 21.0 Å³ per atom. Number 6: V 8.5 Å³ per atom. Number 7: V 18.9 Å³ per atom. Number 8: V 7.5 Å³ per atom. Number 9: V 35.6 Å³ per atom. Number 10: V 18.8 Å³ per atom. Number 11: V 18.9 Å³ per atom. Number 12: V 25.7 Å³ per atom. Number 13: V 44.8 Å³ per atom. Number 14: V 31.4 Å³ per atom. Number 15: V 23.4 Å³ per atom. Number 16: V 29.1 Å³ per atom. Number 17: V 12.7 Å³ per atom. Number 18: V 22.0 Å³ per atom. Number 19: V 18.7 Å³ per atom. Number 20: V 14.7 Å³ per atom. Number 21: V 28.4 Å³ per atom. Number 22: V 38.6 Å³ per atom. Number 23: V 19.9 Å³ per atom. Number 24: V 17.3 Å³ per atom. Number 25: V 11.0 Å³ per atom.